1.
Material: ZnCdAg
Method: DFT, SCAN
State: PBEsol geometry

- Formation enthalpy at 0 K: 0.01 eV/atom
- DOS(E_F): 0.69 states/eV per cell
- Energy above the lowest structure with this stoichiometry: 0 meV/atom
- Magnetic moment: 0.00 μB per cell
- V: 16.73 Å³/atom

Cell lengths 5.685, 5.685, 5.685 Å; angles 148.43, 148.43, 45.25 degrees
Fractional positions:
Zn 0.000 0.000 0.000
Cd 0.330 0.330 0.000
Ag 0.648 0.648 0.000

=====

2.
Material: ZnCdAg2
Method: DFT, SCAN
State: PBEsol geometry

- Formation enthalpy at 0 K: 0.00 eV/atom
- DOS(E_F): 0.96 states/eV per cell
- Magnetic moment: 0.00 μB per cell
- V: 16.75 Å³/atom

Cell lengths 2.887, 4.166, 5.632 Å; angles 90.00, 98.53, 90.00 degrees
Fractional positions:
Zn 0.000 0.000 0.000
Cd 0.568 0.500 0.727
Ag 0.015 0.000 0.480
Ag 0.472 0.500 0.217

=====

3.
Material: ZnCdAg2
Method: DFT, SCAN
State: PBEsol geometry

- Formation enthalpy at 0 K: -0.02 eV/atom
- DOS(E_F): 1.05 states/eV per cell
- Magnetic moment: 0.00 μB per cell
- V: 16.66 Å³/atom

Cell lengths 5.075, 5.075, 5.075 Å; angles 135.13, 132.74, 67.21 degrees
Fractional positions:
Zn 0.000 0.000 0.000
Cd 0.750 0.250 0.500
Ag 0.243 0.743 0.500
Ag 0.496 0.496 0.000

=====

4.
Material: Zn2CdAg
Method: DFT, SCAN
State: PBEsol geometry

- Formation enthalpy at 0 K: 0.05 eV/atom
- DOS(E_F): 1.03 states/eV per cell
- Magnetic moment: 0.00 μB per cell
- V: 16.13 Å³/atom

Cell lengths 4.915, 4.915, 4.915 Å; angles 131.86, 131.86, 70.46 degrees
Fractional positions:
Zn 0.250 0.750 0.500
Zn 0.750 0.250 0.500
Cd 0.000 0.000 0.000
Ag 0.500 0.500 0.000

=====

5.
Material: Zn2CdAg
Method: DFT, SCAN
State: PBEsol geometry

- Formation enthalpy at 0 K: 0.05 eV/atom
- DOS(E_F): 1.19 states/eV per cell
- Magnetic moment: 0.00 μB per cell
- V: 16.11 Å³/atom

Cell lengths 4.963, 4.963, 4.963 Å; angles 132.88, 132.88, 68.84 degrees
Fractional positions:
Zn 0.000 0.000 0.000
Zn 0.750 0.250 0.500
Cd 0.250 0.750 0.500
Ag 0.500 0.500 0.000

=====

6.
Material: Zn2CdAg
Method: DFT, SCAN
State: PBEsol geometry

- Formation enthalpy at 0 K: 0.05 eV/atom
- DOS(E_F): 1.22 states/eV per cell
- Magnetic moment: 0.00 μB per cell
- V: 16.34 Å³/atom

Cell lengths 9.077, 9.077, 9.077 Å; angles 18.44, 18.44, 18.44 degrees
Fractional positions:
Zn 0.000 0.000 0.000
Zn 0.258 0.258 0.258
Cd 0.504 0.504 0.504
Ag 0.746 0.746 0.746

=====

7.
Material: Zn2CdAg
Method: DFT, SCAN
State: PBEsol geometry

- Formation enthalpy at 0 K: 0.07 eV/atom
- DOS(E_F): 0.84 states/eV per cell
- Magnetic moment: 0.00 μB per cell
- V: 16.36 Å³/atom

Cell lengths 2.820, 2.820, 8.646 Å; angles 90.00, 90.00, 107.91 degrees
Fractional positions:
Zn 0.000 0.000 0.000
Zn 0.500 0.500 0.227
Cd 0.500 0.500 0.736
Ag 0.000 0.000 0.464

=====

8.
Material: Zn2CdAg
Method: DFT, SCAN
State: PBEsol geometry

- Formation enthalpy at 0 K: 0.07 eV/atom
- DOS(E_F): 1.28 states/eV per cell
- Magnetic moment: 0.00 μB per cell
- V: 16.45 Å³/atom

Cell lengths 9.156, 9.156, 9.156 Å; angles 18.26, 18.26, 18.26 degrees
Fractional positions:
Zn 0.246 0.246 0.246
Zn 0.754 0.754 0.754
Cd 0.000 0.000 0.000
Ag 0.500 0.500 0.500

=====

9.
Material: Zn2CdAg
Method: DFT, SCAN
State: PBEsol geometry

- Formation enthalpy at 0 K: 0.03 eV/atom
- DOS(E_F): 0.86 states/eV per cell
- Magnetic moment: 0.00 μB per cell
- V: 16.14 Å³/atom

Cell lengths 3.164, 3.164, 6.447 Å; angles 90.00, 90.00, 90.00 degrees
Fractional positions:
Zn 0.000 0.000 0.000
Zn 0.500 0.500 0.214
Cd 0.500 0.500 0.730
Ag 0.000 0.000 0.445

=====

10.
Material: ZnCdAg2
Method: DFT, SCAN
State: PBEsol geometry

- Formation enthalpy at 0 K: -0.01 eV/atom
- DOS(E_F): 1.15 states/eV per cell
- Magnetic moment: 0.00 μB per cell
- V: 16.63 Å³/atom

Cell lengths 4.928, 4.928, 4.928 Å; angles 131.09, 131.09, 71.67 degrees
Fractional positions:
Zn 0.000 0.000 0.000
Cd 0.500 0.500 0.000
Ag 0.250 0.750 0.500
Ag 0.750 0.250 0.500

=====

11.
Material: Zn2CdAg
Method: DFT, SCAN
State: PBEsol geometry

- Formation enthalpy at 0 K: 0.05 eV/atom
- DOS(E_F): 0.74 states/eV per cell
- Magnetic moment: 0.00 μB per cell
- V: 16.03 Å³/atom

Cell lengths 5.235, 5.235, 5.235 Å; angles 143.97, 129.76, 63.36 degrees
Fractional positions:
Zn 0.000 0.000 0.000
Zn 0.769 0.269 0.500
Cd 0.509 0.509 0.000
Ag 0.243 0.743 0.500

=====

12.
Material: ZnCdAg2
Method: DFT, SCAN
State: PBEsol geometry

- Formation enthalpy at 0 K: 0.03 eV/atom
- DOS(E_F): 1.37 states/eV per cell
- Magnetic moment: 0.00 μB per cell
- V: 16.88 Å³/atom

Cell lengths 9.479, 9.479, 9.479 Å; angles 17.54, 17.54, 17.54 degrees
Fractional positions:
Zn 0.000 0.000 0.000
Cd 0.247 0.247 0.247
Ag 0.493 0.493 0.493
Ag 0.743 0.743 0.743

=====

13.
Material: Zn2CdAg2
Method: DFT, SCAN
State: PBEsol geometry

- Formation enthalpy at 0 K: 0.04 eV/atom
- DOS(E_F): 1.27 states/eV per cell
- Energy above the lowest structure with this stoichiometry: 9 meV/atom
- Magnetic moment: 0.00 μB per cell
- V: 17.21 Å³/atom

Cell lengths 7.251, 7.251, 7.251 Å; angles 151.60, 151.60, 40.60 degrees
Fractional positions:
Zn 0.250 0.750 0.500
Zn 0.750 0.250 0.500
Cd 0.000 0.000 0.000
Ag 0.397 0.397 0.000
Ag 0.603 0.603 0.000

=====

14.
Material: Zn2CdAg
Method: DFT, SCAN
State: PBEsol geometry

- Formation enthalpy at 0 K: 0.06 eV/atom
- DOS(E_F): 0.93 states/eV per cell
- Magnetic moment: 0.00 μB per cell
- V: 16.56 Å³/atom

Cell lengths 5.412, 5.412, 2.929 Å; angles 105.62, 105.62, 116.19 degrees
Fractional positions:
Zn 0.000 0.500 0.000
Zn 0.500 0.000 0.000
Cd 0.000 0.000 0.000
Ag 0.500 0.500 0.000

=====

15.
Material: ZrCd3Ag
Method: DFT, SCAN
State: PBEsol geometry

- Formation enthalpy at 0 K: 1.10 eV/atom
- DOS(E_F): 3.75 states/eV per cell
- Magnetic moment: 0.01 μB per cell
- V: 32.33 Å³/atom

Cell lengths 5.448, 5.448, 5.448 Å; angles 90.00, 90.00, 90.00 degrees
Fractional positions:
Zr 0.000 0.000 0.000
Cd 0.000 0.000 0.500
Cd 0.000 0.500 0.000
Cd 0.500 0.000 0.000
Ag 0.500 0.500 0.500

=====

16.
Material: ZrCd2Ag
Method: DFT, SCAN
State: PBEsol geometry

- Formation enthalpy at 0 K: -0.10 eV/atom
- DOS(E_F): 1.64 states/eV per cell
- Magnetic moment: 0.00 μB per cell
- V: 19.52 Å³/atom

Cell lengths 2.890, 4.564, 6.084 Å; angles 90.00, 103.40, 90.00 degrees
Fractional positions:
Zr 0.000 0.000 0.000
Cd 0.357 0.500 0.718
Cd 0.731 0.000 0.483
Ag 0.608 0.500 0.214

=====

17.
Material: ZrCd2Ag
Method: DFT, SCAN
State: PBEsol geometry

- Formation enthalpy at 0 K: -0.07 eV/atom
- DOS(E_F): 1.74 states/eV per cell
- Magnetic moment: 0.00 μB per cell
- V: 19.42 Å³/atom

Cell lengths 2.917, 4.196, 6.347 Å; angles 90.00, 90.00, 90.00 degrees
Fractional positions:
Zr 0.000 0.000 0.000
Cd 0.000 0.000 0.484
Cd 0.500 0.500 0.739
Ag 0.500 0.500 0.243

=====

18.
Material: ZrCd2Ag
Method: DFT, SCAN
State: PBEsol geometry

- Formation enthalpy at 0 K: -0.07 eV/atom
- DOS(E_F): 1.85 states/eV per cell
- Magnetic moment: 0.00 μB per cell
- V: 19.46 Å³/atom

Cell lengths 2.877, 4.606, 6.011 Å; angles 90.00, 102.25, 90.00 degrees
Fractional positions:
Zr 0.000 0.000 0.000
Cd 0.346 0.500 0.741
Cd 0.654 0.500 0.259
Ag 0.500 0.000 0.500

=====

19.
Material: ZrCd2Ag
Method: DFT, SCAN
State: PBEsol geometry

- Formation enthalpy at 0 K: -0.04 eV/atom
- DOS(E_F): 1.98 states/eV per cell
- Magnetic moment: 0.00 μB per cell
- V: 19.46 Å³/atom

Cell lengths 10.061, 10.061, 10.061 Å; angles 17.21, 17.21, 17.21 degrees
Fractional positions:
Zr 0.000 0.000 0.000
Cd 0.246 0.246 0.246
Cd 0.754 0.754 0.754
Ag 0.500 0.500 0.500

=====

20.
Material: ZrCd2Ag
Method: DFT, SCAN
State: PBEsol geometry

- Formation enthalpy at 0 K: -0.11 eV/atom
- DOS(E_F): 2.51 states/eV per cell
- Magnetic moment: 0.01 μB per cell
- V: 19.43 Å³/atom

Cell lengths 3.078, 3.078, 8.202 Å; angles 90.00, 90.00, 90.00 degrees
Fractional positions:
Zr 0.000 0.000 0.000
Cd 0.000 0.000 0.477
Cd 0.500 0.500 0.735
Ag 0.500 0.500 0.245

=====

21.
Material: ZrCd2Ag
Method: DFT, SCAN
State: PBEsol geometry

- Formation enthalpy at 0 K: -0.06 eV/atom
- DOS(E_F): 1.63 states/eV per cell
- Magnetic moment: 0.00 μB per cell
- V: 19.14 Å³/atom

Cell lengths 4.764, 4.764, 4.764 Å; angles 119.88, 119.88, 90.21 degrees
Fractional positions:
Zr 0.000 0.000 0.000
Cd 0.250 0.750 0.500
Cd 0.750 0.250 0.500
Ag 0.500 0.500 0.000

=====

22.
Material: ZrCd2Ag
Method: DFT, SCAN
State: PBEsol geometry

- Formation enthalpy at 0 K: -0.04 eV/atom
- DOS(E_F): 1.76 states/eV per cell
- Magnetic moment: 0.00 μB per cell
- V: 19.56 Å³/atom

Cell lengths 5.065, 5.065, 5.602 Å; angles 97.47, 97.47, 33.32 degrees
Fractional positions:
Zr 0.000 0.000 0.000
Cd 0.502 0.502 0.510
Cd 0.753 0.753 0.268
Ag 0.249 0.249 0.766

=====

23.
Material: ZrCd2Ag
Method: DFT, SCAN
State: PBEsol geometry

- Formation enthalpy at 0 K: -0.05 eV/atom
- DOS(E_F): 3.43 states/eV per cell
- Magnetic moment: 0.00 μB per cell
- V: 19.69 Å³/atom

Cell lengths 4.234, 4.234, 4.394 Å; angles 90.00, 90.00, 90.00 degrees
Fractional positions:
Zr 0.000 0.000 0.000
Cd 0.000 0.500 0.500
Cd 0.500 0.000 0.500
Ag 0.500 0.500 0.000

=====

24.
Material: ZrCd2Ag
Method: DFT, SCAN
State: PBEsol geometry

- Formation enthalpy at 0 K: -0.11 eV/atom
- DOS(E_F): 1.50 states/eV per cell
- Magnetic moment: 0.00 μB per cell
- V: 19.14 Å³/atom

Cell lengths 4.766, 4.766, 4.766 Å; angles 60.00, 60.00, 60.00 degrees
Fractional positions:
Zr 0.000 0.000 0.000
Cd 0.500 0.500 0.500
Cd 0.750 0.750 0.750
Ag 0.250 0.250 0.250

=====

25.
Material: CeAg2
Method: DFT, SCAN
State: PBEsol geometry

- Formation enthalpy at 0 K: -0.20 eV/atom
- DOS(E_F): 4.14 states/eV per cell
- Magnetic moment: 1.54 μB per cell
- V: 20.62 Å³/atom

Cell lengths 4.838, 4.838, 3.052 Å; angles 90.00, 90.00, 120.00 degrees
Fractional positions:
Ce 0.000 0.000 0.000
Ag 0.333 0.667 0.500
Ag 0.667 0.333 0.500

=====

26.
Material: CeAg2
Method: DFT, SCAN
State: PBEsol geometry

- Formation enthalpy at 0 K: -0.23 eV/atom
- DOS(E_F): 4.51 states/eV per cell
- Magnetic moment: 3.30 μB per cell
- V: 20.63 Å³/atom

Cell lengths 5.721, 5.721, 5.721 Å; angles 129.95, 115.58, 85.76 degrees
Fractional positions:
Ce 0.250 0.000 0.250
Ce 0.750 0.000 0.750
Ag 0.167 0.667 0.500
Ag 0.334 0.333 0.000
Ag 0.666 0.667 0.000
Ag 0.833 0.333 0.500

=====

27.
Material: CeAg3
Method: DFT, SCAN
State: PBEsol geometry

- Formation enthalpy at 0 K: -0.08 eV/atom
- DOS(E_F): 11.36 states/eV per cell
- Magnetic moment: 2.15 μB per cell
- V: 20.94 Å³/atom

Cell lengths 6.374, 6.374, 4.761 Å; angles 90.00, 90.00, 120.00 degrees
Fractional positions:
Ce 0.333 0.667 0.250
Ce 0.667 0.333 0.750
Ag 0.149 0.299 0.750
Ag 0.149 0.851 0.750
Ag 0.299 0.149 0.250
Ag 0.701 0.851 0.750
Ag 0.851 0.149 0.250
Ag 0.851 0.701 0.250

=====

28.
Material: CeAg
Method: DFT, SCAN
State: PBEsol geometry

- Formation enthalpy at 0 K: -0.06 eV/atom
- DOS(E_F): 4.94 states/eV per cell
- Magnetic moment: 1.05 μB per cell
- V: 24.03 Å³/atom

Cell lengths 3.636, 3.636, 3.636 Å; angles 90.00, 90.00, 90.00 degrees
Fractional positions:
Ce 0.000 0.000 0.000
Ag 0.500 0.500 0.500

=====

29.
Material: Cs2CeAgCl6
Method: DFT, SCAN
State: PBEsol geometry

- DOS(E_F): 8.69 states/eV per cell
- Magnetic moment: 1.00 μB per cell
- V: 31.15 Å³/atom
- ΔE_f (raw): -2.032 eV per atom

Cell lengths 7.609, 7.609, 7.609 Å; angles 60.00, 60.00, 60.00 degrees
Fractional positions:
Cs 0.250 0.250 0.250
Cs 0.750 0.750 0.750
Ce 0.000 0.000 0.000
Ag 0.500 0.500 0.500
Cl 0.252 0.252 0.748
Cl 0.252 0.748 0.252
Cl 0.252 0.748 0.748
Cl 0.748 0.252 0.252
Cl 0.748 0.252 0.748
Cl 0.748 0.748 0.252

=====

30.
Material: Rb2CeAgCl6
Method: DFT, SCAN
State: PBEsol geometry

- Magnetic moment: 1.00 μB per cell
- V: 30.62 Å³/atom
- ΔE_f (raw): -2.000 eV per atom

Cell lengths 7.566, 7.566, 7.566 Å; angles 60.00, 60.00, 60.00 degrees
Fractional positions:
Rb 0.250 0.250 0.250
Rb 0.750 0.750 0.750
Ce 0.000 0.000 0.000
Ag 0.500 0.500 0.500
Cl 0.252 0.252 0.748
Cl 0.252 0.748 0.252
Cl 0.252 0.748 0.748
Cl 0.748 0.252 0.252
Cl 0.748 0.252 0.748
Cl 0.748 0.748 0.252